Entry from the Alexandria database: a relaxed LaTaIr2 crystal (PBE).

Cell: 3.7676 3.7676 6.0951 Å, 90.00 90.00 90.00°
Closest atoms and distances in Å follow each position.
Space group P4mm (No. 99)
One atom of each set of equivalent atoms:
La 0.0000 0.0000 0.0000 x1  6 Ir 2.86-3.13
Ta 0.5000 0.5000 0.4215 x1  5 Ir 2.49-2.69
Ir 0.0000 0.0000 0.4859 x1  4 Ta 2.69, 1 La 2.96
Ir 0.5000 0.5000 0.8299 x1  1 Ta 2.49

Energy above the most stable polymorph in this dataset   0.466 eV/atom